{"formula": "LaCoPt2", "functional": "PBE", "state": "optimized geometry", "lattice": [[5.159, 0.019, -0.119], [1.773, 4.844, 0.119], [-3.382, -2.552, 2.946]], "species": ["Co", "Pt", "Pt", "La"], "frac_coords": [[0.750, 0.250, 0.500], [0.501, 0.501, 0.000], [0.999, 0.999, 0.000], [0.250, 0.750, 0.500]], "rho_g_cm3": 13.3, "total_energy_ev_per_atom": -6.418, "total_magnetization_mub_per_cell": 1.67, "formation_enthalpy_0k_ev_per_atom": -0.39}



{"formula": "La3MgO", "functional": "PBE", "state": "optimized geometry", "lattice": [[-7.600, -8.234, 13.942], [-0.398, -5.716, 3.084], [5.088, 3.665, -1.739]], "species": ["La", "La", "La", "La", "La", "La", "O", "O", "Mg", "Mg"], "frac_coords": [[0.932, 0.431, 0.569], [0.674, 0.179, 0.821], [0.188, 0.703, 0.297], [0.068, 0.569, 0.431], [0.812, 0.297, 0.703], [0.326, 0.821, 0.179], [0.925, 0.952, 0.048], [0.075, 0.048, 0.952], [0.437, 0.957, 0.043], [0.563, 0.043, 0.957]], "rho_g_cm3": 5.6, "total_energy_ev_per_atom": -5.367, "formation_energy_uncorrected_ev_per_atom": -1.100, "total_magnetization_mub_per_cell": 0.00, "polymorph_energy_mev_per_atom": 108}



{"formula": "CaHgMo2", "functional": "PBE", "state": "optimized geometry", "lattice": [[4.968, 0.001, -0.006], [4.163, 2.712, -0.006], [0.361, 0.107, 5.916]], "species": ["Mo", "Mo", "Hg", "Ca"], "frac_coords": [[0.747, 0.747, 0.795], [0.988, 0.988, 0.968], [0.256, 0.256, 0.241], [0.508, 0.508, 0.497]], "rho_g_cm3": 9.0, "total_energy_ev_per_atom": -5.419, "total_magnetization_mub_per_cell": 0.00, "formation_enthalpy_0k_ev_per_atom": 0.57}



{"formula": "Ba2CaNi", "functional": "PBE", "state": "optimized geometry", "lattice": [[0.000, 4.232, 4.232], [4.232, 0.000, 4.232], [4.232, 4.232, 0.000]], "species": ["Ca", "Ba", "Ba", "Ni"], "frac_coords": [[0.000, 0.000, 0.000], [0.250, 0.250, 0.250], [0.750, 0.750, 0.750], [0.500, 0.500, 0.500]], "rho_g_cm3": 4.1, "total_energy_ev_per_atom": -2.502, "total_magnetization_mub_per_cell": 0.00, "formation_enthalpy_0k_ev_per_atom": 0.41, "polymorph_energy_mev_per_atom": 350}



{"formula": "Nd2MgCo", "functional": "PBE", "state": "optimized geometry", "lattice": [[3.514, 0.000, 0.000], [0.000, 3.514, 0.000], [0.000, 0.000, 8.291]], "species": ["Nd", "Nd", "Co", "Mg"], "frac_coords": [[0.000, 0.000, 0.796], [0.000, 0.000, 0.204], [0.500, 0.500, 0.000], [0.500, 0.500, 0.500]], "rho_g_cm3": 6.0, "total_energy_ev_per_atom": -4.585, "total_magnetization_mub_per_cell": 0.88, "formation_enthalpy_0k_ev_per_atom": -0.03, "polymorph_energy_mev_per_atom": 59}



{"formula": "Pr2NdHo", "functional": "PBE", "state": "optimized geometry", "lattice": [[-2.224, -2.737, -0.504], [1.207, -3.040, -1.414], [2.369, -6.271, 11.018]], "species": ["Pr", "Pr", "Nd", "Ho"], "frac_coords": [[0.910, 0.910, 0.270], [0.090, 0.090, 0.730], [0.000, 0.000, 0.000], [0.500, 0.500, 0.500]], "rho_g_cm3": 7.0, "total_energy_ev_per_atom": -4.577, "total_magnetization_mub_per_cell": 0.00, "formation_enthalpy_0k_ev_per_atom": 0.15, "polymorph_energy_mev_per_atom": 134}



{"formula": "Cs2LaPuSe4", "functional": "PBE", "state": "optimized geometry", "lattice": [[-2.037, 0.851, 3.839], [-0.378, -7.540, 1.471], [7.530, 2.890, 3.355]], "species": ["La", "Se", "Se", "Se", "Se", "Pu", "Cs", "Cs"], "frac_coords": [[0.000, 0.000, 0.000], [0.000, 0.720, 0.185], [0.500, 0.764, 0.810], [0.500, 0.236, 0.190], [0.000, 0.280, 0.815], [0.500, 0.500, 0.000], [0.000, 0.500, 0.500], [0.500, 0.000, 0.500]], "rho_g_cm3": 5.6, "total_energy_ev_per_atom": -5.972, "formation_energy_uncorrected_ev_per_atom": -1.609, "total_magnetization_mub_per_cell": 5.00}



{"formula": "Tb3MgGa2", "functional": "PBE", "state": "optimized geometry", "lattice": [[-2.782, 1.458, -1.841], [-1.953, -3.022, 0.558], [-3.967, 4.301, 9.401]], "species": ["Tb", "Tb", "Tb", "Ga", "Ga", "Mg"], "frac_coords": [[0.000, 0.000, 0.682], [0.000, 0.000, 0.318], [0.000, 0.000, 0.000], [0.500, 0.500, 0.835], [0.500, 0.500, 0.165], [0.500, 0.500, 0.500]], "rho_g_cm3": 7.2, "total_energy_ev_per_atom": -4.005, "total_magnetization_mub_per_cell": 0.00, "formation_enthalpy_0k_ev_per_atom": -0.42, "polymorph_energy_mev_per_atom": 18}



{"formula": "Y2SiBr", "functional": "PBE", "state": "optimized geometry", "lattice": [[6.354, 0.000, 0.000], [0.000, 6.354, 0.000], [3.177, 3.177, 6.752]], "species": ["Y", "Y", "Y", "Y", "Si", "Si", "Br", "Br"], "frac_coords": [[0.875, 0.847, 0.750], [0.597, 0.125, 0.250], [0.375, 0.403, 0.750], [0.153, 0.625, 0.250], [0.500, 0.500, 0.000], [0.250, 0.750, 0.500], [0.000, 0.000, 0.000], [0.750, 0.250, 0.500]], "rho_g_cm3": 3.5, "total_energy_ev_per_atom": -5.497, "formation_energy_uncorrected_ev_per_atom": -0.491, "total_magnetization_mub_per_cell": 0.00, "polymorph_energy_mev_per_atom": 550}



{"formula": "TbZrRu4", "functional": "PBE", "state": "optimized geometry", "lattice": [[5.279, 0.000, 0.000], [2.640, 4.572, 0.000], [2.640, 1.524, 4.311]], "species": ["Zr", "Ru", "Ru", "Ru", "Ru", "Tb"], "frac_coords": [[0.000, 0.000, 0.000], [0.625, 0.625, 0.625], [0.625, 0.124, 0.625], [0.625, 0.625, 0.124], [0.124, 0.625, 0.625], [0.250, 0.250, 0.250]], "rho_g_cm3": 10.4, "total_energy_ev_per_atom": -8.674, "total_magnetization_mub_per_cell": 0.00, "formation_enthalpy_0k_ev_per_atom": -0.29}



{"formula": "Be6Nb2Mo", "functional": "PBE", "state": "optimized geometry", "lattice": [[3.188, 0.000, 0.000], [0.000, 5.234, -3.022], [0.000, 0.000, 6.043]], "species": ["Be", "Be", "Be", "Be", "Be", "Be", "Mo", "Nb", "Nb"], "frac_coords": [[0.500, 0.329, 0.329], [0.500, 0.671, 0.671], [0.500, 0.671, 0.000], [0.500, 0.000, 0.329], [0.500, 0.000, 0.671], [0.500, 0.329, 0.000], [0.000, 0.000, 0.000], [0.000, 0.667, 0.333], [0.000, 0.333, 0.667]], "rho_g_cm3": 5.5, "total_energy_ev_per_atom": -6.114, "total_magnetization_mub_per_cell": 0.00, "formation_enthalpy_0k_ev_per_atom": -0.19}



{"formula": "LaTbSm3Y", "functional": "PBE", "state": "optimized geometry", "lattice": [[5.797, 0.000, 0.000], [-2.898, 10.033, 1.651], [0.000, -1.211, 6.845]], "species": ["Sm", "Sm", "Sm", "Sm", "Sm", "Sm", "La", "La", "Tb", "Tb", "Y", "Y"], "frac_coords": [[0.520, 0.039, 0.742], [0.219, 0.439, 0.246], [0.480, 0.961, 0.258], [0.781, 0.561, 0.754], [0.839, 0.679, 0.269], [0.161, 0.321, 0.731], [0.355, 0.711, 0.980], [0.645, 0.289, 0.020], [0.055, 0.111, 0.266], [0.945, 0.889, 0.734], [0.647, 0.294, 0.464], [0.353, 0.706, 0.536]], "rho_g_cm3": 6.8, "total_energy_ev_per_atom": -4.834, "total_magnetization_mub_per_cell": 0.00, "formation_enthalpy_0k_ev_per_atom": 0.20}



{"formula": "YMn2Ru", "functional": "PBE", "state": "optimized geometry", "lattice": [[-2.569, -0.426, -1.970], [0.920, -3.087, -0.533], [-3.603, -1.959, 5.123]], "species": ["Ru", "Mn", "Mn", "Y"], "frac_coords": [[0.000, 0.000, 0.447], [0.000, 0.000, 0.051], [0.500, 0.500, 0.261], [0.500, 0.500, 0.741]], "rho_g_cm3": 7.1, "total_energy_ev_per_atom": -8.324, "total_magnetization_mub_per_cell": 6.90, "formation_enthalpy_0k_ev_per_atom": 0.20, "polymorph_energy_mev_per_atom": 109}



{"formula": "CuPb2S2Cl2", "functional": "PBE", "state": "optimized geometry", "lattice": [[-8.265, 1.882, 3.206], [-6.681, 5.977, -1.336], [6.197, -5.840, -3.103]], "species": ["Cu", "Cl", "Cl", "S", "S", "Pb", "Pb"], "frac_coords": [[0.000, 0.000, 0.000], [0.500, 0.000, 0.500], [0.000, 0.500, 0.500], [0.826, 0.826, 0.000], [0.174, 0.174, 0.000], [0.334, 0.334, 0.000], [0.666, 0.666, 0.000]], "rho_g_cm3": 6.0, "total_energy_ev_per_atom": -3.799, "formation_energy_uncorrected_ev_per_atom": -0.448, "total_magnetization_mub_per_cell": 0.00}



{"formula": "Rh2AuI", "functional": "PBE", "state": "optimized geometry", "lattice": [[0.000, 3.278, 3.278], [3.278, 0.000, 3.278], [3.278, 3.278, 0.000]], "species": ["I", "Rh", "Rh", "Au"], "frac_coords": [[0.000, 0.000, 0.000], [0.750, 0.750, 0.750], [0.250, 0.250, 0.250], [0.500, 0.500, 0.500]], "rho_g_cm3": 12.5, "total_energy_ev_per_atom": -4.381, "formation_energy_uncorrected_ev_per_atom": 0.501, "total_magnetization_mub_per_cell": 0.00, "polymorph_energy_mev_per_atom": 0}



{"formula": "ScInRh", "functional": "PBE", "state": "optimized geometry", "lattice": [[-0.404, -0.800, -4.526], [-3.605, -0.691, 2.796], [-0.907, 2.949, -0.441]], "species": ["Rh", "Sc", "In"], "frac_coords": [[0.333, 0.667, 0.168], [0.667, 0.333, 0.666], [0.000, 0.000, 0.166]], "rho_g_cm3": 7.6, "total_energy_ev_per_atom": -6.017, "total_magnetization_mub_per_cell": 0.00, "formation_enthalpy_0k_ev_per_atom": -0.54}



{"formula": "HfAl2V", "functional": "PBE", "state": "optimized geometry", "lattice": [[4.169, 0.000, 0.000], [0.000, 3.994, 0.000], [0.000, 0.000, 3.994]], "species": ["V", "Al", "Al", "Hf"], "frac_coords": [[0.500, 0.500, 0.500], [0.000, 0.000, 0.500], [0.000, 0.500, 0.000], [0.500, 0.000, 0.000]], "rho_g_cm3": 7.1, "total_energy_ev_per_atom": -6.894, "total_magnetization_mub_per_cell": 0.04, "formation_enthalpy_0k_ev_per_atom": -0.25, "polymorph_energy_mev_per_atom": 0}



{"formula": "Zn8Cu2Rh", "functional": "PBE", "state": "optimized geometry", "lattice": [[-0.629, -3.049, -2.676], [7.583, -0.201, -1.560], [4.464, -3.491, 2.926]], "species": ["Cu", "Cu", "Zn", "Zn", "Zn", "Zn", "Zn", "Zn", "Zn", "Zn", "Rh"], "frac_coords": [[0.000, 0.622, 0.755], [0.000, 0.378, 0.245], [0.000, 0.963, 0.736], [0.000, 0.301, 0.736], [0.500, 0.250, 0.500], [0.000, 0.037, 0.264], [0.500, 0.750, 0.500], [0.500, 0.665, 0.000], [0.000, 0.699, 0.264], [0.500, 0.335, 0.000], [0.500, 0.000, 0.000]], "rho_g_cm3": 7.8, "total_energy_ev_per_atom": -2.462, "total_magnetization_mub_per_cell": 0.00, "formation_enthalpy_0k_ev_per_atom": -0.12, "polymorph_energy_mev_per_atom": 0}



{"formula": "TiIr2Ru2", "functional": "PBE", "state": "optimized geometry", "lattice": [[-2.395, -6.667, -2.348], [7.019, -1.951, -1.620], [0.307, -1.006, 2.544]], "species": ["Ir", "Ir", "Ir", "Ir", "Ti", "Ti", "Ru", "Ru", "Ru", "Ru"], "frac_coords": [[0.824, 0.324, 0.500], [0.676, 0.824, 0.500], [0.176, 0.676, 0.500], [0.324, 0.176, 0.500], [0.500, 0.500, 0.000], [0.000, 0.000, 0.000], [0.878, 0.622, 0.000], [0.622, 0.122, 0.000], [0.378, 0.878, 0.000], [0.122, 0.378, 0.000]], "rho_g_cm3": 13.7, "total_energy_ev_per_atom": -8.905, "total_magnetization_mub_per_cell": 0.00, "formation_enthalpy_0k_ev_per_atom": -0.07, "polymorph_energy_mev_per_atom": 0}



{"formula": "Ho7Te2Pd2", "functional": "PBE", "state": "optimized geometry", "lattice": [[3.847, 0.000, 0.825], [1.027, 8.164, 4.594], [-0.009, -0.105, 9.423]], "species": ["Ho", "Ho", "Ho", "Ho", "Ho", "Ho", "Ho", "Pd", "Pd", "Te", "Te"], "frac_coords": [[0.371, 0.736, 0.523], [0.818, 0.081, 0.284], [0.629, 0.477, 0.264], [0.144, 0.114, 0.599], [0.500, 0.023, 0.977], [0.856, 0.401, 0.886], [0.182, 0.716, 0.919], [0.737, 0.857, 0.669], [0.263, 0.331, 0.143], [0.500, 0.360, 0.640], [0.000, 0.758, 0.242]], "rho_g_cm3": 9.0, "total_energy_ev_per_atom": -5.274, "formation_energy_uncorrected_ev_per_atom": -0.846, "total_magnetization_mub_per_cell": 0.00}